Here is Li2TeN after structural relaxation from Alexandria via LeMat-Bulk. Energies are from GGA-PBE.

a b c (Å): 7.537 7.537 4.622
angles (deg): 90.00 90.00 90.00
Space group I-42d (No. 122)
Symmetry-distinct sites (fractional):
Li (0.102, 0.250, 0.125) x8
Te (0.000, 0.000, 0.500) x4
N (0.000, 0.000, 0.000) x4

Calculated values
Uncorrected formation energy ... -40 meV per atom
Energy relative to the lowest polymorph listed for this composition ... 0.00 eV per formula unit
DOS at the Fermi energy ... 2.80 states/eV/f.u.